! PBE Zn3BiB, relaxed; values from VASP
&SYSTEM
  ibrav = 0, nat = 5, ntyp = 3
/
ATOMIC_SPECIES
Zn 65.41 Zn.upf
Bi 208.98 Bi.upf
B 10.81 B.upf
ATOMIC_POSITIONS crystal
Zn 0.5000 0.0000 0.0000
Bi 0.0000 0.0000 0.0000
B 0.5000 0.5000 0.5000
Zn 0.0000 0.0000 0.5000
Zn 0.0000 0.5000 0.0000
CELL_PARAMETERS angstrom
-1.1251 0.9692 -5.2256
1.8728 -4.9265 -1.3169
-4.9739 -2.0742 0.6861
! - raw total energy (eV per atom) = -1.3260
! - size of the total moment (Bohr magnetons per cell) = 0.000
! - N(E_F) (states/eV per atom) = 0.628



! PBE ZnBiB3, relaxed; values from VASP
&SYSTEM
  ibrav = 0, nat = 5, ntyp = 3
/
ATOMIC_SPECIES
Zn 65.41 Zn.upf
B 10.81 B.upf
Bi 208.98 Bi.upf
ATOMIC_POSITIONS crystal
Zn 0.5000 0.5000 0.5000
B 0.0000 0.5000 0.0000
B 0.0000 0.0000 0.5000
B 0.5000 0.0000 0.0000
Bi 0.0000 0.0000 0.0000
CELL_PARAMETERS angstrom
4.7801 0.0000 0.0000
0.0000 4.7801 0.0000
0.0000 0.0000 4.7801
! - raw total energy (eV per atom) = -2.5375
! - size of the total moment (Bohr magnetons per cell) = 0.000
! - N(E_F) (states/eV per atom) = 0.537



! PBE Zn3BiB, relaxed; values from VASP
&SYSTEM
  ibrav = 0, nat = 5, ntyp = 3
/
ATOMIC_SPECIES
Zn 65.41 Zn.upf
Bi 208.98 Bi.upf
B 10.81 B.upf
ATOMIC_POSITIONS crystal
Zn 0.5000 0.0000 0.0000
Zn 0.0000 0.0000 0.5000
Bi 0.5000 0.5000 0.5000
B 0.0000 0.0000 0.0000
Zn 0.0000 0.5000 0.0000
CELL_PARAMETERS angstrom
4.4357 0.0000 0.0000
0.0000 4.4357 0.0000
0.0000 0.0000 4.4357
! - raw total energy (eV per atom) = -2.4143
! - size of the total moment (Bohr magnetons per cell) = 0.000
! - N(E_F) (states/eV per atom) = 0.670



! PBE ZnBiB3, relaxed; values from VASP
&SYSTEM
  ibrav = 0, nat = 5, ntyp = 3
/
ATOMIC_SPECIES
B 10.81 B.upf
Bi 208.98 Bi.upf
Zn 65.41 Zn.upf
ATOMIC_POSITIONS crystal
B 0.0000 0.0000 0.5000
Bi 0.5000 0.5000 0.5000
B 0.5000 0.0000 0.0000
B 0.0000 0.5000 0.0000
Zn 0.0000 0.0000 0.0000
CELL_PARAMETERS angstrom
-3.5858 -2.1977 0.3449
1.3879 -1.6988 3.6048
-1.7385 3.1767 2.1663
! - raw total energy (eV per atom) = -3.2612
! - size of the total moment (Bohr magnetons per cell) = 0.000
! - N(E_F) (states/eV per atom) = 0.382



! PBE Zr5Bi3B, relaxed; values from VASP
&SYSTEM
  ibrav = 0, nat = 18, ntyp = 3
/
ATOMIC_SPECIES
Bi 208.98 Bi.upf
Zr 91.22 Zr.upf
B 10.81 B.upf
ATOMIC_POSITIONS crystal
Bi 0.7500 0.6010 0.6010
Zr 0.7500 0.2253 0.2253
Bi 0.7500 0.0000 0.3990
Zr 0.7500 0.7747 0.0000
B 0.5000 0.0000 0.0000
Zr 0.2500 0.7747 0.7747
Zr 0.5000 0.6667 0.3333
Bi 0.2500 0.0000 0.6010
Zr 0.7500 0.0000 0.7747
Zr 0.0000 0.3333 0.6667
B 0.0000 0.0000 0.0000
Bi 0.2500 0.6010 0.0000
Bi 0.2500 0.3990 0.3990
Bi 0.7500 0.3990 0.0000
Zr 0.2500 0.2253 0.0000
Zr 0.0000 0.6667 0.3333
Zr 0.2500 0.0000 0.2253
Zr 0.5000 0.3333 0.6667
CELL_PARAMETERS angstrom
5.9010 0.0000 0.0000
0.0000 7.5579 -4.3636
0.0000 0.0000 8.7271
! - raw total energy (eV per atom) = -7.2798
! - size of the total moment (Bohr magnetons per cell) = 0.000
! - N(E_F) (states/eV per atom) = 0.461



! PBE Zr6Bi3B, relaxed; values from VASP
&SYSTEM
  ibrav = 0, nat = 20, ntyp = 3
/
ATOMIC_SPECIES
Zr 91.22 Zr.upf
Bi 208.98 Bi.upf
B 10.81 B.upf
ATOMIC_POSITIONS crystal
Zr 0.1253 0.7175 0.5499
Zr 0.8727 0.9905 0.0095
Zr 0.1317 0.7795 0.2205
Zr 0.6317 0.2205 0.7795
Zr 0.1253 0.4501 0.2825
Bi 0.1243 0.1201 0.3008
B 0.0986 0.1521 0.8479
Zr 0.3727 0.0095 0.9905
Bi 0.6243 0.8799 0.6992
Zr 0.6287 0.6112 0.0511
Zr 0.6253 0.2825 0.4501
Zr 0.1287 0.0511 0.6112
Bi 0.1257 0.3830 0.6170
Zr 0.6253 0.5499 0.7175
Bi 0.1243 0.6992 0.8799
Zr 0.6287 0.9489 0.3888
Bi 0.6257 0.6170 0.3830
Zr 0.1287 0.3888 0.9489
B 0.5986 0.8479 0.1521
Bi 0.6243 0.3008 0.1201
CELL_PARAMETERS angstrom
5.1070 0.0000 0.0000
0.0000 9.3699 0.6514
0.0000 -1.4559 9.2790
! - raw total energy (eV per atom) = -7.1470
! - size of the total moment (Bohr magnetons per cell) = 0.000
! - N(E_F) (states/eV per atom) = 0.614



! PBE Zr5Bi2B, relaxed; values from VASP
&SYSTEM
  ibrav = 0, nat = 16, ntyp = 3
/
ATOMIC_SPECIES
Zr 91.22 Zr.upf
Bi 208.98 Bi.upf
B 10.81 B.upf
ATOMIC_POSITIONS crystal
Zr 0.1172 0.2344 0.1260
Bi 0.0782 0.1565 0.8790
Zr 0.8828 0.7656 0.6260
Zr 0.3037 0.6074 0.0581
B 0.7709 0.5417 0.7500
B 0.2291 0.4583 0.2500
Zr 0.8828 0.7656 0.8740
Bi 0.9218 0.8435 0.1210
Zr 0.6963 0.3926 0.9419
Zr 0.3037 0.6074 0.4419
Zr 0.6963 0.3926 0.5581
Bi 0.9218 0.8435 0.3790
Zr 0.2535 0.5071 0.7500
Zr 0.1172 0.2344 0.3740
Zr 0.7465 0.4929 0.2500
Bi 0.0782 0.1565 0.6210
CELL_PARAMETERS angstrom
-3.3722 -1.4373 -2.5901
3.3433 -6.6061 3.2021
-7.7257 0.7610 9.6362
! - raw total energy (eV per atom) = -7.0535
! - size of the total moment (Bohr magnetons per cell) = 0.000
! - N(E_F) (states/eV per atom) = 1.120



! PBE Zr3BiB, relaxed; values from VASP
&SYSTEM
  ibrav = 0, nat = 5, ntyp = 3
/
ATOMIC_SPECIES
Zr 91.22 Zr.upf
Bi 208.98 Bi.upf
B 10.81 B.upf
ATOMIC_POSITIONS crystal
Zr 0.0000 0.5000 0.0000
Bi 0.5000 0.5000 0.5000
Zr 0.0000 0.0000 0.5000
Zr 0.5000 0.0000 0.0000
B 0.0000 0.0000 0.0000
CELL_PARAMETERS angstrom
4.6952 0.0000 0.0000
0.0000 4.6952 0.0000
0.0000 0.0000 4.6952
! - raw total energy (eV per atom) = -7.5697
! - size of the total moment (Bohr magnetons per cell) = 0.000
! - N(E_F) (states/eV per atom) = 0.815



! PBE Zr4Bi2B, relaxed; values from VASP
&SYSTEM
  ibrav = 0, nat = 7, ntyp = 3
/
ATOMIC_SPECIES
B 10.81 B.upf
Zr 91.22 Zr.upf
Bi 208.98 Bi.upf
ATOMIC_POSITIONS crystal
B 0.0000 0.0000 0.0000
Zr 0.8457 0.8457 0.6914
Bi 0.6465 0.6465 0.2931
Bi 0.3535 0.3535 0.7069
Zr 0.5000 0.0000 0.0000
Zr 0.1543 0.1543 0.3086
Zr 0.0000 0.5000 0.0000
CELL_PARAMETERS angstrom
4.5619 0.0000 0.0000
0.0000 4.5619 0.0000
-2.2810 -2.2810 7.7265
! - raw total energy (eV per atom) = -7.3140
! - size of the total moment (Bohr magnetons per cell) = 0.000
! - N(E_F) (states/eV per atom) = 0.444



! PBE ZrBiB2, relaxed; values from VASP
&SYSTEM
  ibrav = 0, nat = 8, ntyp = 3
/
ATOMIC_SPECIES
B 10.81 B.upf
Bi 208.98 Bi.upf
Zr 91.22 Zr.upf
ATOMIC_POSITIONS crystal
B 0.8750 0.8801 0.7500
Bi 0.0000 0.0000 0.0000
Zr 0.2500 0.7500 0.5000
Zr 0.5000 0.5000 0.0000
B 0.1199 0.6250 0.2500
Bi 0.7500 0.2500 0.5000
B 0.3750 0.3699 0.7500
B 0.6301 0.1250 0.2500
CELL_PARAMETERS angstrom
6.3332 0.0000 0.0000
0.0000 6.3332 0.0000
3.1666 3.1666 3.4551
! - raw total energy (eV per atom) = -5.6654
! - size of the total moment (Bohr magnetons per cell) = 0.000
! - N(E_F) (states/eV per atom) = 0.213



! PBE Zr3BiB, relaxed; values from VASP
&SYSTEM
  ibrav = 0, nat = 5, ntyp = 3
/
ATOMIC_SPECIES
Zr 91.22 Zr.upf
B 10.81 B.upf
Bi 208.98 Bi.upf
ATOMIC_POSITIONS crystal
Zr 0.5000 0.0000 0.0000
B 0.5000 0.5000 0.5000
Zr 0.0000 0.0000 0.5000
Zr 0.0000 0.5000 0.0000
Bi 0.0000 0.0000 0.0000
CELL_PARAMETERS angstrom
5.3744 0.0000 0.0000
0.0000 5.3744 0.0000
0.0000 0.0000 5.3744
! - raw total energy (eV per atom) = -5.2878
! - size of the total moment (Bohr magnetons per cell) = 0.000
! - N(E_F) (states/eV per atom) = 1.546



! PBE BBr3, relaxed; values from VASP
&SYSTEM
  ibrav = 0, nat = 4, ntyp = 2
/
ATOMIC_SPECIES
Br 79.90 Br.upf
B 10.81 B.upf
ATOMIC_POSITIONS crystal
Br 0.5000 0.5000 0.5000
B 0.0000 0.0000 0.0000
Br 0.7500 0.7500 0.7500
Br 0.2500 0.2500 0.2500
CELL_PARAMETERS angstrom
0.2287 -0.4227 5.1628
-4.3678 -0.0405 2.7939
-1.5564 -4.3708 2.3149
! - ΔE_f (raw) (eV/atom) = 1.40
! - raw total energy (eV per atom) = -1.5249
! - size of the total moment (Bohr magnetons per cell) = 1.970
! - N(E_F) (states/eV per atom) = 0.871



Which value of size of the total moment does entry 1 give?
0.000 Bohr magnetons per cell



Repeat the seventh record exactly.
! PBE Zr5Bi2B, relaxed; values from VASP
&SYSTEM
  ibrav = 0, nat = 16, ntyp = 3
/
ATOMIC_SPECIES
Zr 91.22 Zr.upf
Bi 208.98 Bi.upf
B 10.81 B.upf
ATOMIC_POSITIONS crystal
Zr 0.1172 0.2344 0.1260
Bi 0.0782 0.1565 0.8790
Zr 0.8828 0.7656 0.6260
Zr 0.3037 0.6074 0.0581
B 0.7709 0.5417 0.7500
B 0.2291 0.4583 0.2500
Zr 0.8828 0.7656 0.8740
Bi 0.9218 0.8435 0.1210
Zr 0.6963 0.3926 0.9419
Zr 0.3037 0.6074 0.4419
Zr 0.6963 0.3926 0.5581
Bi 0.9218 0.8435 0.3790
Zr 0.2535 0.5071 0.7500
Zr 0.1172 0.2344 0.3740
Zr 0.7465 0.4929 0.2500
Bi 0.0782 0.1565 0.6210
CELL_PARAMETERS angstrom
-3.3722 -1.4373 -2.5901
3.3433 -6.6061 3.2021
-7.7257 0.7610 9.6362
! - raw total energy (eV per atom) = -7.0535
! - size of the total moment (Bohr magnetons per cell) = 0.000
! - N(E_F) (states/eV per atom) = 1.120



Which of these has the highest raw total energy?
number 1